The following is a DFT calculation (PBE+U) of an optimized crystal structure of NaAlCr2F6.

The structure in POSCAR format:
```
NaAlCr2F6
1.0
5.301 0.000 0.000
-2.157 5.132 0.000
-2.065 -1.413 5.280
Na Al Cr F
1 1 2 6
Direct
0.000 0.000 0.000
0.264 0.715 0.702
0.528 0.230 0.608
0.535 0.757 0.338
0.196 0.688 0.997
0.402 0.339 0.286
0.554 0.591 0.828
0.573 0.070 0.912
0.962 0.845 0.606
0.983 0.381 0.544
```

Summary:
**E**: -5.564 eV per atom
**Magnetization**: 0.800 μB per atom